A geometry-optimized NbTc3F structure, computed with PBE.

POSCAR file:
```
NbTc3F
1.0
4.1792 0.0000 0.0000
0.0000 4.1792 0.0000
0.0000 0.0000 4.1792
Nb Tc F
1 3 1
Direct
0.0000 0.0000 0.0000 Nb
0.0000 0.5000 0.5000 Tc
0.5000 0.0000 0.5000 Tc
0.5000 0.5000 0.0000 Tc
0.5000 0.5000 0.5000 F
```

Results
D(E_F) ... 7.28 states/eV per cell
Energy above the most stable polymorph in this dataset ... 0.0 meV per atom
Volume ... 14.6 Å³/atom